Entry 1:
Computed, not measured: a relaxed Mn2AlS crystal at the GGA-PBEsol level of DFT.

## Properties
Formation energy (no corrections) in eV per atom: 0.090
Electronic total energy in eV/f.u.: -27.64
ρ in Mg/m³: 5.26

Cell: 6.521 6.521 5.013 Å, 90.00 90.00 90.00°
Space group I-42d (No. 122)
Unique sites:
Mn (0.173, 0.750, 0.125) x8
Al (0.000, 0.000, 0.500) x4
S (0.000, 0.000, 0.000) x4

=====

Entry 2:
Computed, not measured: a relaxed FeTc2As crystal at the GGA-PBEsol level of DFT.

## Properties
E_form in kJ/mol of atoms: 0.1
Energy above the lowest structure with this stoichiometry in kcal/mol of atoms: 0.00
Electronic total energy in eV/f.u.: -36.60
ρ in Mg/m³: 10.36

Cell: 4.206 4.206 2.962 Å, 90.00 90.00 90.00°
Space group P4/mmm (No. 123)
Unique sites:
Fe (0.000, 0.000, 0.000) x1
Tc (0.000, 0.500, 0.500) x2
As (0.500, 0.500, 0.000) x1

=====

Entry 3:
Computed, not measured: a relaxed V4Zn5 crystal at the GGA-PBEsol level of DFT.

## Properties
E_form in kJ/mol of atoms: -5.8
Electronic total energy in eV/f.u.: -46.98
ρ in Mg/m³: 7.34

Cell: 8.710 8.710 3.165 Å, 90.00 90.00 90.00°
Space group I4/mmm (No. 139)
Unique sites:
V (0.000, 0.343, 0.000) x8
Zn (0.000, 0.000, 0.000) x2
Zn (0.169, 0.169, 0.500) x8

=====

Entry 4:
Computed, not measured: a relaxed SrFePt2 crystal at the GGA-PBEsol level of DFT.

## Properties
E_form in kJ/mol of atoms: 13.2
Electronic total energy in eV/f.u.: -24.18
ρ in Mg/m³: 12.17

Cell: 6.628 6.628 6.628 Å, 90.00 90.00 90.00°
Space group Fm-3m (No. 225)
Unique sites:
Sr (0.000, 0.000, 0.000) x4
Fe (0.000, 0.000, 0.500) x4
Pt (0.250, 0.250, 0.250) x8

=====

Entry 5:
Computed, not measured: a relaxed La2InW crystal at the GGA-PBEsol level of DFT.

## Properties
E_form in kJ/mol of atoms: 42.9
Electronic total energy in eV/f.u.: -25.70
ρ in Mg/m³: 9.76

Cell: 3.440 5.246 10.875 Å, 90.00 90.00 90.00°
Space group Cmm2 (No. 35)
Unique sites:
La (0.000, 0.000, 0.000) x2
La (0.000, 0.500, 0.323) x2
In (0.000, 0.500, 0.741) x2
W (0.000, 0.000, 0.537) x2

=====

Entry 6:
Computed, not measured: a relaxed ScTc2Ru crystal at the GGA-PBEsol level of DFT.

## Properties
E_form in kJ/mol of atoms: 8.1
Energy above the lowest structure with this stoichiometry in kcal/mol of atoms: 3.51
Electronic total energy in eV/f.u.: -38.98
ρ in Mg/m³: 9.36

Cell: 2.723 2.723 8.180 Å, 90.00 90.00 90.00°
Space group P4/mmm (No. 123)
Unique sites:
Sc (0.000, 0.000, 0.000) x1
Tc (0.500, 0.500, 0.276) x2
Ru (0.000, 0.000, 0.500) x1

=====

Entry 7:
Computed, not measured: a relaxed AlInGe3 crystal at the GGA-PBEsol level of DFT.

## Properties
E_form in kJ/mol of atoms: 49.9
Energy above the lowest structure with this stoichiometry in kcal/mol of atoms: 0.00
Electronic total energy in eV/f.u.: -19.30
ρ in Mg/m³: 5.20

Cell: 4.860 4.860 4.860 Å, 90.00 90.00 90.00°
Space group Pm-3m (No. 221)
Unique sites:
Al (0.000, 0.000, 0.000) x1
In (0.500, 0.500, 0.500) x1
Ge (0.000, 0.000, 0.500) x3

=====

Entry 8:
Computed, not measured: a relaxed BaCaN2O crystal at the GGA-PBEsol level of DFT.

## Properties
Formation energy (no corrections) in eV per atom: -0.137
Electronic total energy in eV/f.u.: -27.27
ρ in Mg/m³: 4.06

Cell: 4.545 4.545 4.385 Å, 90.00 90.00 90.00°
Space group P4/mmm (No. 123)
Unique sites:
Ba (0.000, 0.000, 0.000) x1
Ca (0.500, 0.500, 0.500) x1
N (0.000, 0.500, 0.500) x2
O (0.500, 0.500, 0.000) x1

=====

Entry 9:
Computed, not measured: a relaxed YHg3C crystal at the GGA-PBEsol level of DFT.

## Properties
E_form in kJ/mol of atoms: 66.5
Electronic total energy in eV/f.u.: -14.72
ρ in Mg/m³: 11.22

Cell: 4.702 4.702 4.702 Å, 90.00 90.00 90.00°
Space group Pm-3m (No. 221)
Unique sites:
Y (0.000, 0.000, 0.000) x1
Hg (0.000, 0.500, 0.500) x3
C (0.500, 0.500, 0.500) x1

=====

Entry 10:
Computed, not measured: a relaxed RbGa2P2 crystal at the GGA-PBEsol level of DFT.

## Properties
E_form in kJ/mol of atoms: -31.8
Electronic total energy in eV/f.u.: -20.94
ρ in Mg/m³: 3.96

Cell: 4.226 4.226 13.454 Å, 90.00 90.00 90.00°
Space group I4/mmm (No. 139)
Unique sites:
Rb (0.000, 0.000, 0.000) x2
Ga (0.000, 0.500, 0.250) x4
P (0.000, 0.000, 0.346) x4

=====

Entry 11:
Computed, not measured: a relaxed CaAlB2As crystal at the GGA-PBEsol level of DFT.

## Properties
E_form in kJ/mol of atoms: 69.9
Electronic total energy in eV/f.u.: -21.74
ρ in Mg/m³: 3.09

Cell: 4.223 4.223 4.932 Å, 90.00 90.00 90.00°
Space group P4/mmm (No. 123)
Unique sites:
Ca (0.000, 0.000, 0.000) x1
Al (0.500, 0.500, 0.500) x1
B (0.000, 0.500, 0.500) x2
As (0.500, 0.500, 0.000) x1

=====

Entry 12:
Computed, not measured: a relaxed Cs2KDyCl6 crystal at the GGA-PBEsol level of DFT.

## Properties
Formation energy (no corrections) in eV per atom: -2.145
Electronic total energy in eV/f.u.: -41.49
ρ in Mg/m³: 3.33

Cell: 11.075 11.075 11.075 Å, 90.00 90.00 90.00°
Space group Fm-3m (No. 225)
Unique sites:
Cs (0.250, 0.250, 0.250) x8
K (0.000, 0.000, 0.000) x4
Dy (0.000, 0.000, 0.500) x4
Cl (0.000, 0.000, 0.265) x24

=====

Entry 13:
Computed, not measured: a relaxed NaMg3Nb crystal at the GGA-PBEsol level of DFT.

## Properties
E_form in kJ/mol of atoms: 114.0
Electronic total energy in eV/f.u.: -11.47
ρ in Mg/m³: 2.88

Cell: 4.777 4.777 4.777 Å, 90.00 90.00 90.00°
Space group Pm-3m (No. 221)
Unique sites:
Na (0.000, 0.000, 0.000) x1
Mg (0.000, 0.000, 0.500) x3
Nb (0.500, 0.500, 0.500) x1

=====

Entry 14:
Computed, not measured: a relaxed Ca2HfSbTe crystal at the GGA-PBEsol level of DFT.

## Properties
Formation energy (no corrections) in eV per atom: 0.343
Electronic total energy in eV/f.u.: -21.14
ρ in Mg/m³: 4.49

Cell: 6.010 6.010 5.201 Å, 90.00 90.00 90.00°
Space group P4/mmm (No. 123)
Unique sites:
Ca (0.000, 0.500, 0.000) x2
Hf (0.000, 0.000, 0.000) x1
Sb (0.000, 0.000, 0.500) x1
Te (0.500, 0.500, 0.500) x1

=====

Entry 15:
Computed, not measured: a relaxed Na2SnF6 crystal at the GGA-PBEsol level of DFT.

## Properties
Formation energy (no corrections) in eV per atom: -2.709
Electronic total energy in eV/f.u.: -43.00
ρ in Mg/m³: 3.55

Cell: 5.075 5.075 10.132 Å, 90.00 90.00 90.00°
Space group P4_2/mnm (No. 136)
Unique sites:
Na (0.000, 0.000, 0.164) x4
Sn (0.000, 0.000, 0.500) x2
F (0.186, 0.186, 0.355) x8
F (0.223, 0.223, 0.000) x4

=====

Entry 16:
Computed, not measured: a relaxed HfTlI3 crystal at the GGA-PBEsol level of DFT.

## Properties
Formation energy (no corrections) in eV per atom: 0.787
Electronic total energy in eV/f.u.: -14.50
ρ in Mg/m³: 6.21

Cell: 5.889 5.889 5.889 Å, 90.00 90.00 90.00°
Space group Pm-3m (No. 221)
Unique sites:
Hf (0.000, 0.000, 0.000) x1
Tl (0.500, 0.500, 0.500) x1
I (0.000, 0.500, 0.500) x3

=====

Entry 17:
Computed, not measured: a relaxed Ca2LaTaAs crystal at the GGA-PBEsol level of DFT.

## Properties
E_form in kJ/mol of atoms: 18.3
Electronic total energy in eV/f.u.: -26.32
ρ in Mg/m³: 5.37

Cell: 5.437 5.437 4.968 Å, 90.00 90.00 90.00°
Space group P4/mmm (No. 123)
Unique sites:
Ca (0.000, 0.500, 0.000) x2
La (0.000, 0.000, 0.500) x1
Ta (0.500, 0.500, 0.500) x1
As (0.500, 0.500, 0.000) x1

=====

Entry 18:
Computed, not measured: a relaxed Sr2Si3 crystal at the GGA-PBEsol level of DFT.

## Properties
Energy above the lowest structure with this stoichiometry in kcal/mol of atoms: 3.29
Formation energy (no corrections) in eV per atom: -0.203
Electronic total energy in eV/f.u.: -21.93
ρ in Mg/m³: 3.37

Cell: 3.9228 3.9228 28.7633 Å, 90.00 90.00 120.00°
Space group R-3m (No. 166, hexagonal axes)
Unique sites:
Sr (0.0000, 0.0000, 0.0902) x6
Si (0.0000, 0.0000, 0.3464) x6
Si (0.0000, 0.0000, 0.5000) x3

=====

Entry 19:
Computed, not measured: a relaxed Sr3Li4Nb6O20 crystal at the GGA-PBEsol level of DFT.

## Properties
Formation energy (no corrections) in eV per atom: -2.650
Electronic total energy in eV/f.u.: -270.76
ρ in Mg/m³: 4.73

Cell: 5.606 5.608 13.339 Å, 90.17 102.05 90.01°
Space group P1 (No. 1)
Unique sites:
Sr (0.000, 0.000, 0.000) x1
Sr (0.150, 0.011, 0.325) x1
Sr (0.503, 0.506, 0.000) x1
Li (0.052, 0.252, 0.637) x1
Li (0.067, 0.756, 0.670) x1
Li (0.548, 0.248, 0.636) x1
Li (0.567, 0.748, 0.670) x1
Nb (0.074, 0.506, 0.162) x1
Nb (0.226, 0.510, 0.472) x1
Nb (0.416, 0.006, 0.841) x1
Nb (0.571, 0.003, 0.162) x1
Nb (0.727, 0.998, 0.473) x1
Nb (0.916, 0.498, 0.841) x1
O (0.135, 0.460, 0.305) x1
O (0.143, 0.762, 0.840) x1
O (0.176, 0.259, 0.871) x1
O (0.265, 0.802, 0.165) x1
O (0.288, 0.530, 0.616) x1
O (0.317, 0.281, 0.133) x1
O (0.330, 0.033, 0.698) x1
O (0.449, 0.756, 0.446) x1
O (0.457, 0.241, 0.472) x1
O (0.470, 0.955, 0.003) x1
O (0.631, 0.041, 0.305) x1
O (0.644, 0.743, 0.842) x1
O (0.676, 0.246, 0.873) x1
O (0.782, 0.731, 0.161) x1
O (0.788, 0.972, 0.616) x1
O (0.823, 0.230, 0.137) x1
O (0.828, 0.468, 0.698) x1
O (0.960, 0.757, 0.445) x1
O (0.970, 0.246, 0.472) x1
O (0.977, 0.550, 0.003) x1

=====

Entry 20:
Computed, not measured: a relaxed AlFe3 crystal at the GGA-PBEsol level of DFT.

## Properties
E_form in kJ/mol of atoms: -11.9
Electronic total energy in eV/f.u.: -31.48
ρ in Mg/m³: 6.99

Cell: 4.521 4.521 4.521 Å, 90.00 90.00 90.00°
Space group Pm-3n (No. 223)
Unique sites:
Al (0.000, 0.000, 0.000) x2
Fe (0.000, 0.250, 0.500) x6